Entry 1:
Entry from the Alexandria database: a PBEsol-optimized structure of BeInOs (SCAN).

Calculated values
Its energy is -36.091 eV per atom. Its density of states at the Fermi level is 2.4 states/eV/cell. Its formation energy is 0.449 eV/atom. The space group is No. 156. As for the crystal system: trigonal.

Geometry as POSCAR:
```
BeInOs
1.0
-1.4733 0.7074 2.3595
-0.8935 -2.1695 -1.6533
3.4710 -3.9935 3.3646
Be Os In
1 1 1
direct
0.0000 0.0000 0.0342 Be
0.3333 0.6667 0.2957 Os
0.6667 0.3333 0.6700 In
```

Entry 2:
Entry from the Alexandria database: a PBEsol-optimized structure of Al2InSb (SCAN).

Calculated values
Its energy is -21.372 eV per atom. Its density of states at the Fermi level is 1.8 states/eV/cell. The uncorrected formation energy comes out at 0.166 eV/atom. The space group is No. 35. As for the crystal system: orthorhombic.

Geometry as POSCAR:
```
Al2InSb
1.0
3.1311 0.0615 0.0000
-0.2081 3.1248 0.0000
0.0000 0.0000 8.7938
Sb Al In
1 2 1
direct
0.5000 0.5000 0.2209 Sb
0.0000 0.0000 0.9739 Al
0.5000 0.5000 0.7770 Al
0.0000 0.0000 0.5282 In
```

Entry 3:
Entry from the Alexandria database: a PBEsol-optimized structure of LiMg2Pb (SCAN).

Calculated values
Its energy is -22.195 eV per atom. Its density of states at the Fermi level is 1.5 states/eV/cell. Its formation energy is -0.165 eV/atom. The space group is No. 1. As for the crystal system: triclinic.

Geometry as POSCAR:
```
LiMg2Pb
1.0
3.2925 -0.0262 0.0104
-1.6851 5.0613 0.0178
0.0246 -0.9651 5.4542
Pb Mg Li
1 2 1
direct
0.5021 0.0029 0.5125 Pb
0.9973 0.0000 0.9966 Mg
0.7543 0.5019 0.2430 Mg
0.2462 0.4948 0.7479 Li
```

Entry 4:
Entry from the Alexandria database: a PBEsol-optimized structure of CaAl2P (SCAN).

Calculated values
Its energy is -9.149 eV per atom. Its density of states at the Fermi level is 1.4 states/eV/cell. Its formation energy is -0.258 eV/atom. The space group is No. 123. As for the crystal system: tetragonal.

Geometry as POSCAR:
```
CaAl2P
1.0
4.0380 0.0000 0.0000
0.0000 4.0380 0.0000
0.0000 0.0000 4.5568
P Ca Al
1 1 2
direct
0.0000 0.0000 0.5000 P
0.5000 0.5000 0.5000 Ca
0.0000 0.5000 0.0000 Al
0.5000 0.0000 0.0000 Al
```

Entry 5:
Entry from the Alexandria database: a PBEsol-optimized structure of Ag3AuO (SCAN).

Calculated values
Its energy is -33.850 eV per atom. Its density of states at the Fermi level is 1.3 states/eV/cell. The uncorrected formation energy comes out at 0.047 eV/atom. The space group is No. 221. As for the crystal system: cubic.

Geometry as POSCAR:
```
Ag3AuO
1.0
4.3395 0.0000 0.0000
0.0000 4.3395 0.0000
0.0000 0.0000 4.3395
Au O Ag
1 1 3
direct
0.5000 0.5000 0.5000 Au
0.0000 0.0000 0.0000 O
0.0000 0.5000 0.0000 Ag
0.0000 0.0000 0.5000 Ag
0.5000 0.0000 0.0000 Ag
```

Entry 6:
Entry from the Alexandria database: a PBEsol-optimized structure of Li3Cu2F8 (SCAN).

Calculated values
Its energy is -7.439 eV per atom. Its density of states at the Fermi level is 3.3 states/eV/cell. The uncorrected formation energy comes out at -2.370 eV/atom. The space group is No. 1. As for the crystal system: triclinic.

Geometry as POSCAR:
```
Li3Cu2F8
1.0
5.8186 0.7449 0.1136
3.0678 6.1510 0.3176
2.8735 2.9642 4.6315
Li Cu F
3 2 8
direct
0.9169 0.8775 0.0328 Li
0.0912 0.1927 0.4323 Li
0.9302 0.8294 0.5461 Li
0.5033 0.4987 0.2615 Cu
0.5120 0.5181 0.7377 Cu
0.3825 0.3454 0.6932 F
0.3951 0.3186 0.1866 F
0.8679 0.2488 0.7494 F
0.8527 0.2197 0.3014 F
0.1476 0.7972 0.7190 F
0.1390 0.7562 0.2465 F
0.6249 0.6913 0.8071 F
0.6368 0.7061 0.2862 F
```

Entry 7:
Entry from the Alexandria database: a PBEsol-optimized structure of NaSICl2 (SCAN).

Calculated values
Its energy is -13.607 eV per atom. Its density of states at the Fermi level is 1.0 states/eV/cell. The uncorrected formation energy comes out at -0.299 eV/atom. The space group is No. 123. As for the crystal system: tetragonal.

Geometry as POSCAR:
```
NaSICl2
1.0
-0.3805 -5.0536 0.1114
0.6812 -0.1719 -5.4697
5.4567 -0.3955 0.6920
I Na S Cl
1 1 1 2
direct
0.0000 0.0000 0.0000 I
0.5000 0.5000 0.5000 Na
0.5000 0.0000 0.0000 S
0.0000 0.0000 0.5000 Cl
0.0000 0.5000 0.0000 Cl
```

Entry 8:
Entry from the Alexandria database: a PBEsol-optimized structure of Y2SbOs (SCAN).

Calculated values
Its energy is -41.439 eV per atom. Its density of states at the Fermi level is 3.0 states/eV/cell. The uncorrected formation energy comes out at -0.232 eV/atom. The space group is No. 166. As for the crystal system: trigonal.

Geometry as POSCAR:
```
Y2SbOs
1.0
3.4851 0.0000 0.0000
1.7426 3.0182 0.0000
1.7426 1.0061 8.9202
Os Sb Y
1 1 2
direct
0.5000 0.5000 0.5000 Os
0.0000 0.0000 0.0000 Sb
0.2399 0.2399 0.2802 Y
0.7601 0.7601 0.7198 Y
```

Entry 9:
Entry from the Alexandria database: a PBEsol-optimized structure of CaCoOs2 (SCAN).

Calculated values
Its energy is -42.022 eV per atom. Its density of states at the Fermi level is 2.5 states/eV/cell. Its formation energy is 0.659 eV/atom. The space group is No. 166. As for the crystal system: trigonal.

Geometry as POSCAR:
```
CaCoOs2
1.0
2.7350 0.0000 0.0000
1.3675 2.3686 0.0000
1.3675 0.7895 9.1327
Co Ca Os
1 1 2
direct
0.0000 0.0000 0.0000 Co
0.5000 0.5000 0.5000 Ca
0.2608 0.2608 0.2175 Os
0.7392 0.7392 0.7825 Os
```

Entry 10:
Entry from the Alexandria database: a PBEsol-optimized structure of Tl2Hg (SCAN).

Calculated values
Its energy is -70.971 eV per atom. Its density of states at the Fermi level is 5.3 states/eV/cell. Its formation energy is -0.010 eV/atom. The space group is No. 62. As for the crystal system: orthorhombic.

Geometry as POSCAR:
```
Tl2Hg
1.0
5.2464 0.0000 0.0000
0.0000 6.6133 0.0000
0.0000 0.0000 9.2949
Hg Tl
4 8
direct
0.7500 0.7881 0.0894 Hg
0.2500 0.7119 0.5894 Hg
0.7500 0.2881 0.4106 Hg
0.2500 0.2119 0.9106 Hg
0.7500 0.4845 0.7252 Tl
0.2500 0.0155 0.2252 Tl
0.7500 0.9845 0.7748 Tl
0.2500 0.5155 0.2748 Tl
0.7500 0.3092 0.0778 Tl
0.2500 0.1908 0.5778 Tl
0.7500 0.8092 0.4222 Tl
0.2500 0.6908 0.9222 Tl
```

Entry 11:
Entry from the Alexandria database: a PBEsol-optimized structure of Sr5Ag (SCAN).

Calculated values
Its energy is -23.865 eV per atom. Its density of states at the Fermi level is 5.2 states/eV/cell. Its formation energy is -0.075 eV/atom. The space group is No. 123. As for the crystal system: tetragonal.

Geometry as POSCAR:
```
Sr5Ag
1.0
4.0170 0.0000 0.0000
0.0000 4.0170 0.0000
0.0000 0.0000 16.0491
Sr Ag
5 1
direct
0.0000 0.0000 0.8870 Sr
0.0000 0.0000 0.1130 Sr
0.5000 0.5000 0.6932 Sr
0.5000 0.5000 0.3068 Sr
0.0000 0.0000 0.5000 Sr
0.5000 0.5000 0.0000 Ag
```

Entry 12:
Entry from the Alexandria database: a PBEsol-optimized structure of ZnHg3 (SCAN).

Calculated values
Its energy is -54.404 eV per atom. Its density of states at the Fermi level is 1.1 states/eV/cell. Its formation energy is 0.100 eV/atom. The space group is No. 12. As for the crystal system: monoclinic.

Geometry as POSCAR:
```
ZnHg3
1.0
3.2872 0.0000 0.0000
-1.6436 4.4881 0.0607
0.0000 -1.5211 5.7051
Zn Hg
1 3
direct
0.5000 0.0000 0.0000 Zn
0.7607 0.5213 0.7728 Hg
0.2393 0.4787 0.2272 Hg
0.0000 0.0000 0.5000 Hg
```